Entry 1:
Below is a geometry-optimized NaCu2Si2 structure, with properties calculated at the PBE level.

Results
Space-group type: I4/mmm, No. 139
Energy above the lowest structure with this stoichiometry (eV/atom): 0.0000

abc: 5.702 5.702 5.702
angles: 138.90 138.90 59.53
Atoms (fractional coordinates):
Na 0.000 0.000 0.000
Cu 0.250 0.750 0.500
Cu 0.750 0.250 0.500
Si 0.381 0.381 0.000
Si 0.619 0.619 0.000

=====

Entry 2:
Below is a geometry-optimized Hf2Co3Si4 structure, with properties calculated at the PBE level.

Results
Space-group type: Pbcn, No. 60
E_tot (eV/atom): -7.764
M_tot (Bohr magnetons per cell): 0.02

abc: 6.731 5.187 13.659
angles: 90.00 90.00 90.00
Atoms (fractional coordinates):
Hf 0.101 0.230 0.146
Hf 0.101 0.770 0.646
Hf 0.399 0.270 0.646
Hf 0.399 0.730 0.146
Hf 0.601 0.270 0.854
Hf 0.601 0.730 0.354
Hf 0.899 0.230 0.354
Hf 0.899 0.770 0.854
Co 0.000 0.276 0.750
Co 0.000 0.724 0.250
Co 0.224 0.006 0.482
Co 0.224 0.994 0.982
Co 0.276 0.494 0.982
Co 0.276 0.506 0.482
Co 0.500 0.224 0.250
Co 0.500 0.776 0.750
Co 0.724 0.494 0.518
Co 0.724 0.506 0.018
Co 0.776 0.006 0.018
Co 0.776 0.994 0.518
Si 0.019 0.284 0.568
Si 0.019 0.716 0.068
Si 0.246 0.021 0.813
Si 0.246 0.979 0.313
Si 0.254 0.479 0.313
Si 0.254 0.521 0.813
Si 0.481 0.216 0.068
Si 0.481 0.784 0.568
Si 0.519 0.216 0.432
Si 0.519 0.784 0.932
Si 0.746 0.479 0.187
Si 0.746 0.521 0.687
Si 0.754 0.021 0.687
Si 0.754 0.979 0.187
Si 0.981 0.284 0.932
Si 0.981 0.716 0.432

=====

Entry 3:
Below is a geometry-optimized Sr2MgTcS6 structure, with properties calculated at the PBE level.

Results
Space-group type: I4/m, No. 87
M_tot (Bohr magnetons per cell): 2.22
Energy above the lowest structure with this stoichiometry (eV/atom): 0.0000

abc: 7.037 7.037 7.037
angles: 126.95 126.95 78.33
Atoms (fractional coordinates):
Sr 0.250 0.750 0.500
Sr 0.750 0.250 0.500
Mg 0.000 0.000 0.000
Tc 0.500 0.500 0.000
S 0.146 0.636 0.782
S 0.268 0.268 0.000
S 0.364 0.146 0.511
S 0.636 0.854 0.489
S 0.732 0.732 0.000
S 0.854 0.364 0.218

=====

Entry 4:
Below is a geometry-optimized CdNiGe2 structure, with properties calculated at the PBE level.

Results
Space-group type: F-43m, No. 216
E_tot (eV/atom): -3.622
M_tot (Bohr magnetons per cell): 0.01

abc: 4.611 4.611 4.611
angles: 60.00 60.00 60.00
Atoms (fractional coordinates):
Cd 0.000 0.000 0.000
Ni 0.750 0.750 0.750
Ge 0.250 0.250 0.250
Ge 0.500 0.500 0.500

=====

Entry 5:
Below is a geometry-optimized Pr3TeN2 structure, with properties calculated at the PBE level.

Results
Space-group type: P-3m1, No. 164
E_tot (eV/atom): -6.993
M_tot (Bohr magnetons per cell): 0.00

abc: 3.834 3.834 10.249
angles: 90.00 90.00 120.00
Atoms (fractional coordinates):
Pr 0.000 0.000 0.000
Pr 0.333 0.667 0.275
Pr 0.667 0.333 0.725
Te 0.000 0.000 0.500
N 0.333 0.667 0.849
N 0.667 0.333 0.151

=====

Entry 6:
Below is a geometry-optimized Zr2Nb4Bi3N3 structure, with properties calculated at the PBE level.

Results
Space-group type: C2/c, No. 15
E_tot (eV/atom): -8.435
M_tot (Bohr magnetons per cell): 0.00

abc: 5.996 5.996 13.891
angles: 102.49 102.49 59.97
Atoms (fractional coordinates):
Zr 0.027 0.852 0.583
Zr 0.148 0.973 0.917
Zr 0.852 0.027 0.083
Zr 0.973 0.148 0.417
Nb 0.192 0.371 0.073
Nb 0.321 0.462 0.427
Nb 0.371 0.192 0.573
Nb 0.462 0.321 0.927
Nb 0.538 0.679 0.073
Nb 0.629 0.808 0.427
Nb 0.679 0.538 0.573
Nb 0.808 0.629 0.927
Bi 0.083 0.264 0.749
Bi 0.264 0.083 0.249
Bi 0.431 0.569 0.750
Bi 0.569 0.431 0.250
Bi 0.736 0.917 0.751
Bi 0.917 0.736 0.251
N 0.000 0.500 0.500
N 0.161 0.679 0.000
N 0.321 0.839 0.500
N 0.500 0.000 0.000
N 0.679 0.161 0.500
N 0.839 0.321 0.000

=====

| no. | density (g/cm³) |
| --- | --- |
| 1 | 4.32 |
| 2 | 9.00 |
| 3 | 3.77 |
| 4 | 7.58 |
| 5 | 7.36 |
| 6 | 9.70 |